(1)
Compound: TbScIr
Source: Alexandria
Functional: GGA-PBE
Structure: relaxed

Summary:
For the density of states at the Fermi level, the calculation gives 3.586 states/eV/f.u. The crystal system is tetragonal. Its formation enthalpy at 0 K is -0.5797 eV per atom.

Lattice parameters (Å, degrees): 6.6761 6.6761 6.6761 151.40 151.40 40.89
Closest atoms and distances in Å follow each position.
Fractional positions:
Tb  0.0000  0.0000  0.0000  4 Ir 2.97, 4 Tb 3.30
Sc  0.2668  0.2668  0.0000  4 Ir 2.77
Ir  0.6473  0.6473  0.0000  4 Sc 2.77, 4 Tb 2.97

---

(2)
Compound: YSiPb4
Source: Alexandria
Functional: GGA-PBE
Structure: relaxed

Summary:
For the density of states at the Fermi level, the calculation gives 6.702 states/eV/f.u. The crystal system is cubic. The uncorrected formation energy is 0.323 eV per atom.

Lattice parameters (Å, degrees): 6.3551 6.3551 6.3551 60.00 60.00 60.00
Closest atoms and distances in Å follow each position.
Fractional positions:
Y  0.0000  0.0000  0.0000  12 Pb 3.73, 4 Si 3.89
Si  0.2500  0.2500  0.2500  12 Pb 3.73, 4 Y 3.89
Pb  0.1255  0.6248  0.6248  6 Pb 3.17-3.18
Pb  0.6248  0.1255  0.6248  6 Pb 3.17-3.18
Pb  0.6248  0.6248  0.1255  6 Pb 3.17-3.18
Pb  0.6248  0.6248  0.6248  6 Pb 3.17-3.18

---

Table of magnetization (μB/cell), in record order: 0.0; 0.0